1.
Below is crystalline LaPrSm2As4 at its relaxed geometry, with properties calculated at the PBE-GGA level.

Computed properties:
- energy of formation (eV per formula unit) = -12.2
- electronic total energy (eV/atom) = -6.2484
- total magnetic moment (μB per atom) = 0.00
- calculated volume (Å³/cell) = 221.58

Cell lengths 4.281, 7.408, 7.410 Å; angles 70.55, 90.00, 90.00 degrees
Element x y z (fractional)
As  0.000  0.244  0.251
As  0.000  0.756  0.749
Sm  0.500  0.000  0.500
La  0.000  0.500  0.500
Sm  0.000  0.000  0.000
As  0.500  0.243  0.753
Pr  0.500  0.500  0.000
As  0.500  0.757  0.247

2.
Below is crystalline NdYGaHg at its relaxed geometry, with properties calculated at the PBE-GGA level.

Computed properties:
- energy of formation (eV per formula unit) = -2.2
- electronic total energy (eV/atom) = -4.1789
- total magnetic moment (μB per atom) = 0.00
- calculated volume (Å³/cell) = 102.32
- excess energy over the best structure of this formula in the dataset (eV per formula unit) = 0.00

Cell lengths 3.667, 3.667, 7.611 Å; angles 90.00, 90.00, 90.00 degrees
Element x y z (fractional)
Ga  0.500  0.500  0.595
Hg  0.500  0.500  0.124
Nd  0.000  0.000  0.841
Y  0.000  0.000  0.368

3.
Below is crystalline Ba2In3Au at its relaxed geometry, with properties calculated at the PBE-GGA level.

Computed properties:
- energy of formation (eV per formula unit) = -2.9
- electronic total energy (eV/atom) = -3.0399
- total magnetic moment (μB per atom) = 0.00
- calculated volume (Å³/cell) = 399.50
- excess energy over the best structure of this formula in the dataset (eV per formula unit) = 0.24

Cell lengths 6.749, 6.749, 10.219 Å; angles 112.12, 112.12, 81.94 degrees
Element x y z (fractional)
In  0.339  0.339  0.171
In  0.661  0.661  0.829
In  0.830  0.830  0.660
Ba  0.259  0.741  0.000
In  0.170  0.170  0.340
Ba  0.250  0.750  0.500
Ba  0.750  0.250  0.500
Au  0.667  0.667  0.334
Au  0.333  0.333  0.666
In  0.832  0.832  0.171
In  0.168  0.168  0.829
Ba  0.741  0.259  0.000